# Ce3Pb2Au4

An optimized crystal structure of Ce3Pb2Au4 (PBE-GGA, Alexandria via LeMat-Bulk).

Cell lengths 9.215, 5.112, 9.458 Å; angles 90.00, 96.06, 90.00 degrees
Space group C2/m (No. 12)
Symmetry-distinct sites (fractional):
Ce 0.000 0.000 0.000
Ce 0.134 0.500 0.593
Pb 0.184 0.500 0.230
Au 0.038 0.000 0.354
Au 0.162 0.500 0.913

Final energy: -4.80 eV/atom


# Pr4DyTh3S8

An optimized crystal structure of Pr4DyTh3S8 (PBE-GGA, Alexandria via LeMat-Bulk).

Cell lengths 8.0921, 8.0921, 19.9727 Å; angles 90.00, 90.00, 120.00 degrees
Space group R-3m (No. 166, hexagonal axes)
Symmetry-distinct sites (fractional):
Pr 0.0000 0.0000 0.0000
Pr 0.0000 0.5000 0.0000
Dy 0.0000 0.0000 0.5000
Th 0.0000 0.5000 0.5000
S 0.0000 0.0000 0.2491
S 0.0065 0.5032 0.2470

E_form (uncorrected): -1.943 eV per atom
Final energy: -6.88 eV/atom


# Mg2Pa

An optimized crystal structure of Mg2Pa (PBE-GGA, Alexandria via LeMat-Bulk).

Cell lengths 5.422, 3.133, 8.599 Å; angles 90.00, 102.29, 90.00 degrees
Space group C2/m (No. 12)
Symmetry-distinct sites (fractional):
Mg 0.219 0.000 0.158
Pa 0.000 0.000 0.500

Final energy: -4.17 eV/atom


# Si2RuPb

An optimized crystal structure of Si2RuPb (PBE-GGA, Alexandria via LeMat-Bulk).

Cell lengths 7.863, 3.170, 6.302 Å; angles 90.00, 102.56, 90.00 degrees
Space group C2/m (No. 12)
Symmetry-distinct sites (fractional):
Si 0.233 0.000 0.152
Ru 0.000 0.500 0.000
Pb 0.000 0.000 0.500

E_form (uncorrected): 0.047 eV per atom
Final energy: -5.91 eV/atom


Number 1: size of the total moment 2.8 μB per formula unit. Number 2: size of the total moment 0.0 μB per formula unit. Number 3: size of the total moment 0.0 μB per formula unit. Number 4: size of the total moment 0.0 μB per formula unit.